This record from the Open Quantum Materials Database describes crystalline Cu4Ag5 at its relaxed geometry. The functional is PBE-GGA.

E_form	79	kJ/mol of formula units
SG	C2/m (12)
electronic total energy	-3.13	eV/atom
energy above the most stable polymorph in this dataset	46.2	kJ/mol of formula units
theoretical density	9.6	g cm⁻³

```
Cu4Ag5
1.0
7.166 -1.419 0.000
7.166 1.419 0.000
-4.413 0.000 6.783
Cu Ag
4 5
Direct
0.056 0.056 0.347
0.402 0.402 0.357
0.598 0.598 0.643
0.944 0.944 0.653
0.159 0.159 0.969
0.273 0.273 0.670
0.500 0.500 0.000
0.727 0.727 0.330
0.841 0.841 0.031
```